a) The following is a DFT calculation (PBE-GGA) of KSbIr after structural relaxation.

a = 4.405 Å, b = 4.405 Å, c = 5.494 Å
α = 90.00°, β = 90.00°, γ = 120.00°
Fractional coordinates of all 3 atoms:
K1 0.667 0.333 0.333
Sb1 0.333 0.667 0.833
Ir1 0.000 0.000 0.834

Values from the calculation:
symmetry = No. 187
DOS(E_F) = 2.559 states/eV/f.u.

=====

b) The following is a DFT calculation (PBE-GGA) of KSbIr after structural relaxation.

a = 4.244 Å, b = 4.244 Å, c = 10.615 Å
α = 90.00°, β = 90.00°, γ = 90.00°
Fractional coordinates of all 6 atoms:
Ir1 0.000 0.000 0.500
Ir2 0.500 0.500 0.500
K1 0.000 0.500 0.817
K2 0.500 0.000 0.183
Sb1 0.500 0.000 0.646
Sb2 0.000 0.500 0.354

Values from the calculation:
symmetry = No. 129
DOS(E_F) = 1.535 states/eV/f.u.

=====

b) ends up most stable, edging out the next structure by 245 meV per atom.